# 1
Crystalline NpAs at its relaxed geometry. Source: Alexandria, functional PBE.

a = 5.813 Å, b = 5.813 Å, c = 5.813 Å
α = 90.00°, β = 90.00°, γ = 90.00°
Space group Fm-3m (No. 225)
Inequivalent atoms, fractional coordinates:
Np 0.000 0.000 0.000 [4 per cell]
As 0.000 0.000 0.500 [4 per cell]

Results
Relative energy among the computed polymorphs   0.000 eV/atom
Theoretical density   10.55 g cm⁻³
Formation energy   -684 meV/atom

=====

# 2
Crystalline Tm5PuPb5 at its relaxed geometry. Source: Alexandria, functional PBE.

a = 12.374 Å, b = 6.211 Å, c = 9.752 Å
α = 90.00°, β = 113.03°, γ = 90.00°
Space group C2/m (No. 12)
Inequivalent atoms, fractional coordinates:
Tm 0.000 0.000 0.000 [2 per cell]
Tm 0.153 0.500 0.849 [4 per cell]
Tm 0.161 0.500 0.312 [4 per cell]
Pu 0.000 0.000 0.500 [2 per cell]
Pb 0.000 0.500 0.500 [2 per cell]
Pb 0.160 0.000 0.836 [4 per cell]
Pb 0.186 0.000 0.337 [4 per cell]

Results
Theoretical density   10.23 g cm⁻³
Formation energy   -116 meV/atom

=====

# 3
Crystalline HgH3W at its relaxed geometry. Source: Alexandria, functional PBE.

a = 3.652 Å, b = 3.652 Å, c = 3.652 Å
α = 90.00°, β = 90.00°, γ = 90.00°
Space group Pm-3m (No. 221)
Inequivalent atoms, fractional coordinates:
Hg 0.000 0.000 0.000 [1 per cell]
H 0.000 0.500 0.500 [3 per cell]
W 0.500 0.500 0.500 [1 per cell]

Results
Relative energy among the computed polymorphs   0.000 eV/atom
Theoretical density   13.21 g cm⁻³

=====

# 4
Crystalline Ta4CrRe at its relaxed geometry. Source: Alexandria, functional PBE.

a = 3.183 Å, b = 3.183 Å, c = 9.808 Å
α = 90.00°, β = 90.00°, γ = 90.00°
Space group P4/mmm (No. 123)
Inequivalent atoms, fractional coordinates:
Ta 0.000 0.000 0.153 [2 per cell]
Ta 0.500 0.500 0.337 [2 per cell]
Cr 0.500 0.500 0.000 [1 per cell]
Re 0.000 0.000 0.500 [1 per cell]

Results
Relative energy among the computed polymorphs   0.000 eV/atom
Theoretical density   16.08 g cm⁻³
Formation energy   -177 meV/atom

=====

# 5
Crystalline CaTc at its relaxed geometry. Source: Alexandria, functional PBE.

a = 12.894 Å, b = 12.894 Å, c = 3.559 Å
α = 90.00°, β = 90.00°, γ = 90.00°
Space group I4/m (No. 87)
Inequivalent atoms, fractional coordinates:
Ca 0.044 0.729 0.000 [8 per cell]
Tc 0.195 0.259 0.000 [8 per cell]

Results
Relative energy among the computed polymorphs   0.633 eV/atom
Theoretical density   3.10 g cm⁻³
Formation energy   846 meV/atom

=====

# 6
Crystalline Ba2Tl5Au3 at its relaxed geometry. Source: Alexandria, functional PBE.

a = 12.547 Å, b = 13.903 Å, c = 6.897 Å
α = 90.00°, β = 90.00°, γ = 90.00°
Space group Ibam (No. 72)
Inequivalent atoms, fractional coordinates:
Ba 0.248 0.128 0.000 [8 per cell]
Tl 0.000 0.256 0.250 [8 per cell]
Tl 0.000 0.500 0.250 [4 per cell]
Tl 0.135 0.113 0.500 [8 per cell]
Au 0.000 0.000 0.250 [4 per cell]
Au 0.139 0.378 0.000 [8 per cell]

Results
Theoretical density   10.42 g cm⁻³
Formation energy   -344 meV/atom

=====

# 7
Crystalline Li2CaPd2 at its relaxed geometry. Source: Alexandria, functional PBE.

a = 4.180 Å, b = 4.180 Å, c = 21.114 Å
α = 90.00°, β = 90.00°, γ = 90.00°
Space group I4/mmm (No. 139)
Inequivalent atoms, fractional coordinates:
Li 0.000 0.000 0.188 [4 per cell]
Li 0.000 0.500 0.000 [4 per cell]
Ca 0.000 0.000 0.365 [4 per cell]
Pd 0.000 0.000 0.070 [4 per cell]
Pd 0.000 0.500 0.250 [4 per cell]

Results
Relative energy among the computed polymorphs   0.006 eV/atom
Theoretical density   4.80 g cm⁻³
Formation energy   -443 meV/atom

=====

# 8
Crystalline SiHg2Ru at its relaxed geometry. Source: Alexandria, functional PBE.

a = 3.907 Å, b = 3.907 Å, c = 9.273 Å
α = 90.00°, β = 90.00°, γ = 90.00°
Space group I4/mmm (No. 139)
Inequivalent atoms, fractional coordinates:
Si 0.000 0.000 0.000 [2 per cell]
Hg 0.000 0.500 0.250 [4 per cell]
Ru 0.000 0.000 0.500 [2 per cell]

Results
Total energy   -3.32 eV/atom
Theoretical density   12.44 g cm⁻³